Record 1
DFT (PBE) results for TlOs2Br after structural relaxation.

a = 2.942 Å, b = 4.737 Å, c = 5.195 Å
α = 90.00°, β = 90.00°, γ = 90.00°
Space group Pmmm (No. 47)
Symmetry-distinct sites (fractional):
Tl  0.000  0.000  0.000 (multiplicity 1)
Os  0.000  0.500  0.500 (multiplicity 1)
Os  0.500  0.500  0.000 (multiplicity 1)
Br  0.500  0.000  0.500 (multiplicity 1)

Calculated values
calculated density: 15.24 Mg/m³
total magnetization: 0.00 μB per formula unit
total DFT energy (no corrections): -5.278 eV per atom
uncorrected formation energy: 1346 meV/atom

Record 2
DFT (PBE) results for Y2MgRuPb after structural relaxation.

a = 5.274 Å, b = 5.274 Å, c = 5.040 Å
α = 90.00°, β = 90.00°, γ = 90.00°
Space group P4/mmm (No. 123)
Symmetry-distinct sites (fractional):
Y  0.000  0.500  0.000 (multiplicity 2)
Mg  0.000  0.000  0.500 (multiplicity 1)
Ru  0.000  0.000  0.000 (multiplicity 1)
Pb  0.500  0.500  0.500 (multiplicity 1)

Calculated values
ΔH_f (0 K): -120.2 meV per atom
calculated density: 6.05 Mg/m³
total magnetization: 0.00 μB per formula unit
total DFT energy (no corrections): -5.622 eV per atom

Record 3
DFT (PBE) results for NpTl3Te6Pd2 after structural relaxation.

a = 7.051 Å, b = 12.096 Å, c = 8.813 Å
α = 90.00°, β = 105.13°, γ = 90.00°
Space group C2/m (No. 12)
Symmetry-distinct sites (fractional):
Np  0.000  0.000  0.000 (multiplicity 2)
Tl  0.000  0.155  0.500 (multiplicity 4)
Tl  0.000  0.500  0.500 (multiplicity 2)
Te  0.201  0.500  0.191 (multiplicity 4)
Te  0.246  0.181  0.198 (multiplicity 8)
Pd  0.000  0.332  0.000 (multiplicity 4)

Calculated values
calculated density: 8.37 Mg/m³
total magnetization: 2.98 μB per formula unit
total DFT energy (no corrections): -4.441 eV per atom
uncorrected formation energy: -334 meV/atom